No. 1
Entry from Alexandria via LeMat-Bulk: a geometry-optimized Pa3TeSe5 structure (PBE).

Cell lengths 8.069, 8.069, 10.635 Å; angles 69.67, 69.67, 71.86 degrees
Element x y z (fractional)
Pa 0.670 0.670 0.836
Pa 0.641 0.641 0.329
Pa 0.000 0.000 0.000
Pa 0.000 0.000 0.500
Pa 0.330 0.330 0.164
Pa 0.359 0.359 0.671
Te 0.121 0.121 0.685
Te 0.879 0.879 0.315
Se 0.960 0.357 0.323
Se 0.303 0.697 0.000
Se 0.769 0.769 0.032
Se 0.411 0.411 0.380
Se 0.589 0.589 0.620
Se 0.231 0.231 0.968
Se 0.357 0.960 0.323
Se 0.697 0.303 0.000
Se 0.040 0.643 0.677
Se 0.643 0.040 0.677

Properties
The formation energy from raw total energies comes out at -1.11 eV per atom.

***

No. 2
Entry from Alexandria via LeMat-Bulk: a geometry-optimized Pa2TeSe2 structure (PBE).

Cell lengths 4.051, 5.649, 7.426 Å; angles 112.36, 105.83, 90.00 degrees
Element x y z (fractional)
Pa 0.675 0.175 0.350
Pa 0.325 0.825 0.650
Te 0.000 0.000 0.000
Se 0.335 0.335 0.669
Se 0.665 0.665 0.331

Properties
The formation energy from raw total energies comes out at -1.10 eV per atom.

***

No. 3
Entry from Alexandria via LeMat-Bulk: a geometry-optimized PaTeSe structure (PBE).

Cell lengths 4.038, 4.830, 4.830 Å; angles 120.00, 90.00, 90.00 degrees
Element x y z (fractional)
Pa 0.166 0.667 0.333
Te 0.667 0.333 0.667
Se 0.167 0.000 0.000

Properties
The formation energy from raw total energies comes out at -0.90 eV per atom. The calculation puts the relative energy among the computed polymorphs at 0.70 eV per formula unit.

***

No. 4
Entry from Alexandria via LeMat-Bulk: a geometry-optimized Pa4TeSe5 structure (PBE).

Cell lengths 4.054, 8.528, 9.142 Å; angles 102.57, 102.81, 90.00 degrees
Element x y z (fractional)
Pa 0.327 0.915 0.655
Pa 0.000 0.738 0.000
Pa 0.673 0.085 0.345
Pa 0.000 0.262 0.000
Te 0.500 0.000 0.000
Se 0.836 0.683 0.672
Se 0.835 0.171 0.670
Se 0.165 0.829 0.330
Se 0.500 0.500 0.000
Se 0.164 0.317 0.328

Properties
The formation energy from raw total energies comes out at -1.15 eV per atom.

***

No. 5
Entry from Alexandria via LeMat-Bulk: a geometry-optimized Pa4TeSe3 structure (PBE).

Cell lengths 4.043, 4.043, 28.375 Å; angles 90.00, 90.00, 120.00 degrees
Element x y z (fractional)
Pa 0.667 0.333 0.941
Pa 0.333 0.667 0.059
Pa 0.333 0.667 0.441
Pa 0.667 0.333 0.559
Pa 0.000 0.000 0.824
Pa 0.000 0.000 0.176
Pa 0.000 0.000 0.324
Pa 0.000 0.000 0.676
Te 0.667 0.333 0.750
Te 0.333 0.667 0.250
Se 0.000 0.000 0.000
Se 0.000 0.000 0.500
Se 0.333 0.667 0.882
Se 0.667 0.333 0.118
Se 0.667 0.333 0.382
Se 0.333 0.667 0.618

Properties
The formation energy from raw total energies comes out at -1.05 eV per atom.

***

No. 6
Entry from Alexandria via LeMat-Bulk: a geometry-optimized PaTeSe structure (PBE).

Cell lengths 3.842, 3.842, 5.709 Å; angles 109.66, 109.66, 90.00 degrees
Element x y z (fractional)
Pa 0.656 0.656 0.312
Te 0.325 0.325 0.650
Se 0.019 0.019 0.039

Properties
The formation energy from raw total energies comes out at -1.06 eV per atom. The calculation puts the relative energy among the computed polymorphs at 0.22 eV per formula unit.

***

No. 7
Entry from Alexandria via LeMat-Bulk: a geometry-optimized Pa5Te2Se5 structure (PBE).

Cell lengths 3.906, 6.986, 12.636 Å; angles 99.69, 90.00, 106.23 degrees
Element x y z (fractional)
Pa 0.140 0.279 0.446
Pa 0.707 0.414 0.829
Pa 0.293 0.586 0.171
Pa 0.860 0.721 0.554
Pa 0.000 0.000 0.000
Te 0.023 0.046 0.767
Te 0.977 0.954 0.233
Se 0.500 0.000 0.500
Se 0.655 0.311 0.054
Se 0.739 0.478 0.332
Se 0.261 0.522 0.668
Se 0.345 0.689 0.946

Properties
The formation energy from raw total energies comes out at -1.07 eV per atom.

***

No. 8
Entry from Alexandria via LeMat-Bulk: a geometry-optimized Pa2TeSe4 structure (PBE).

Cell lengths 8.907, 9.761, 8.916 Å; angles 126.68, 128.35, 75.29 degrees
Element x y z (fractional)
Pa 0.713 0.375 0.837
Pa 0.626 0.875 0.251
Pa 0.568 0.331 0.234
Pa 0.153 0.420 0.738
Te 0.924 0.405 0.300
Te 0.144 0.342 0.014
Se 0.848 0.108 0.337
Se 0.476 0.643 0.240
Se 0.818 0.553 0.722
Se 0.795 0.040 0.709
Se 0.434 0.163 0.324
Se 0.422 0.198 0.768
Se 0.410 0.589 0.772
Se 0.919 0.708 0.253

Properties
The formation energy from raw total energies comes out at -1.12 eV per atom.

***

No. 9
Entry from Alexandria via LeMat-Bulk: a geometry-optimized Pa5Te4Se structure (PBE).

Cell lengths 4.556, 4.024, 15.303 Å; angles 97.54, 91.21, 90.00 degrees
Element x y z (fractional)
Pa 0.169 0.089 0.178
Pa 0.500 0.500 0.000
Pa 0.831 0.911 0.822
Pa 0.327 0.292 0.583
Pa 0.673 0.708 0.417
Te 0.331 0.397 0.794
Te 0.828 0.808 0.616
Te 0.172 0.192 0.384
Te 0.669 0.603 0.206
Se 0.000 0.000 0.000

Properties
The formation energy from raw total energies comes out at -0.71 eV per atom.

***

No. 10
Entry from Alexandria via LeMat-Bulk: a geometry-optimized Pa4Te5Se structure (PBE).

Cell lengths 4.154, 8.530, 9.462 Å; angles 102.42, 102.68, 90.00 degrees
Element x y z (fractional)
Pa 0.342 0.926 0.684
Pa 0.003 0.771 0.006
Pa 0.658 0.074 0.316
Pa 0.997 0.229 0.994
Te 0.835 0.661 0.669
Te 0.828 0.191 0.656
Te 0.172 0.809 0.344
Te 0.500 0.500 0.000
Te 0.165 0.339 0.331
Se 0.500 0.000 0.000

Properties
The formation energy from raw total energies comes out at -0.87 eV per atom.

***

No. 11
Entry from Alexandria via LeMat-Bulk: a geometry-optimized Pa2TeSe structure (PBE).

Cell lengths 4.217, 4.217, 7.249 Å; angles 106.92, 90.00, 120.00 degrees
Element x y z (fractional)
Pa 0.262 0.024 0.285
Pa 0.738 0.976 0.715
Te 0.500 0.500 0.000
Se 0.000 0.500 0.500

Properties
The formation energy from raw total energies comes out at -0.91 eV per atom. The calculation puts the relative energy among the computed polymorphs at 0.00 eV per formula unit.

***

No. 12
Entry from Alexandria via LeMat-Bulk: a geometry-optimized Pa2TeSe structure (PBE).

Cell lengths 5.160, 5.160, 5.160 Å; angles 60.00, 60.00, 60.00 degrees
Element x y z (fractional)
Pa 0.250 0.250 0.250
Pa 0.750 0.750 0.750
Te 0.000 0.000 0.000
Se 0.500 0.500 0.500

Properties
The formation energy from raw total energies comes out at -0.76 eV per atom. The calculation puts the relative energy among the computed polymorphs at 0.62 eV per formula unit.

***

What is the formula in the third record?
PaTeSe